[1]
This record from the Alexandria database describes a crystal of SrOs2Rh relaxed with PBEsol. The functional is meta-GGA SCAN.

Geometry as POSCAR:
```
SrOs2Rh
1.0
3.913 0.000 0.000
0.000 3.913 0.000
-1.956 -1.956 4.404
Os Rh Sr
2 1 1
Direct
0.750 0.250 0.500
0.250 0.750 0.500
0.500 0.500 0.000
0.000 0.000 0.000
```

Computed properties:
Fermi-level density of states ... 1.072 states/eV/atom
Formation energy from the elements ... 4.20 eV/f.u.
Uncorrected energy ... -195.6 eV for the cell shown

***

[2]
This record from the Alexandria database describes a crystal of SrOsRh3 relaxed with PBEsol. The functional is meta-GGA SCAN.

Geometry as POSCAR:
```
SrOsRh3
1.0
4.674 0.000 0.000
0.000 4.674 0.000
0.000 0.000 4.674
Rh Sr Os
3 1 1
Direct
0.500 0.000 0.000
0.000 0.000 0.500
0.000 0.500 0.000
0.000 0.000 0.000
0.500 0.500 0.500
```

Computed properties:
Fermi-level density of states ... 1.426 states/eV/atom
Formation energy from the elements ... 13.52 eV/f.u.
Uncorrected energy ... -181.9 eV for the cell shown

***

[3]
This record from the Alexandria database describes a crystal of SrOs2Rh relaxed with PBEsol. The functional is meta-GGA SCAN.

Geometry as POSCAR:
```
SrOs2Rh
1.0
2.763 0.000 0.000
0.000 4.632 0.000
-1.381 -2.316 5.282
Os Sr Rh
2 1 1
Direct
0.218 0.218 0.436
0.782 0.782 0.564
0.000 0.500 0.000
0.500 0.000 0.000
```

Computed properties:
Fermi-level density of states ... 0.814 states/eV/atom
Formation energy from the elements ... 2.21 eV/f.u.
Uncorrected energy ... -197.6 eV for the cell shown

***

[4]
This record from the Alexandria database describes a crystal of Sr2OsRh relaxed with PBEsol. The functional is meta-GGA SCAN.

Geometry as POSCAR:
```
Sr2OsRh
1.0
-0.853 -0.801 -2.937
2.973 -0.876 -0.624
-1.784 -7.971 2.693
Rh Os Sr
1 1 2
Direct
0.500 0.500 0.500
0.500 0.500 0.000
0.000 0.000 0.740
0.000 0.000 0.260
```

Computed properties:
Fermi-level density of states ... 0.503 states/eV/atom
Formation energy from the elements ... 2.54 eV/f.u.
Uncorrected energy ... -147.7 eV for the cell shown